No. 1
! TbHo2Rh (GGA-PBE, optimized geometry); values from VASP
&SYSTEM
  ibrav = 0, nat = 4, ntyp = 3
/
ATOMIC_SPECIES
Rh 102.91 Rh.upf
Tb 158.93 Tb.upf
Ho 164.93 Ho.upf
ATOMIC_POSITIONS angstrom
Rh 3.611 2.085 5.250
Tb 0.000 0.000 0.000
Ho 1.805 1.042 7.015
Ho 5.416 3.127 3.485
CELL_PARAMETERS angstrom
3.611 0.000 0.000
1.805 3.127 0.000
1.805 1.042 10.500
! Offset from the most stable computed form, meV/atom: 379
! Energy relative to the elements, eV per atom: -0.155
! Space group: R-3m
! E_tot, hartree per atom: -0.200

---

No. 2
! Ac5Ce2Ge4 (GGA-PBE, optimized geometry); values from VASP
&SYSTEM
  ibrav = 0, nat = 11, ntyp = 3
/
ATOMIC_SPECIES
Ac 227.00 Ac.upf
Ce 140.12 Ce.upf
Ge 72.64 Ge.upf
ATOMIC_POSITIONS angstrom
Ac 4.671 -0.973 -3.072
Ac -0.340 -9.047 4.570
Ac 2.075 -2.922 0.666
Ac -1.088 -1.072 -1.315
Ac 2.256 -7.098 0.832
Ce 3.931 -4.905 -2.342
Ce 0.400 -5.115 3.840
Ge 1.942 -2.646 -2.539
Ge 2.295 -9.704 2.925
Ge 2.388 -7.373 4.037
Ge 2.036 -0.316 -1.427
CELL_PARAMETERS angstrom
-2.176 -2.144 -2.629
5.985 1.347 -6.052
0.521 -9.222 10.179
! Energy relative to the elements, eV per atom: -0.239
! Space group: C2/m
! E_tot, hartree per atom: -0.179